1.
Sc2SiI (PBE, optimized geometry); total magnetic moment = 0.00 μB/f.u.; N(E_F) = 0.9807 states/eV/atom; offset from the most stable computed form = 773 meV/atom; density = 3.89 Mg/m³
1.0
-1.9968 7.6190 6.3434
-3.6109 5.0096 8.0088
-0.1886 5.5225 8.4701
I Si Sc
1 1 2
Cartesian
-2.8981 9.0756 11.4111
0.0000 0.0000 0.0000
-0.5146 1.6113 2.0260
-5.2817 16.5398 20.7963

=====

2.
Ta2HgOs (PBE, optimized geometry); ΔH_f (0 K) = 342 meV per atom; total magnetic moment = 0.00 μB/f.u.; N(E_F) = 1.1271 states/eV/atom; density = 17.71 Mg/m³
1.0
4.8072 0.0000 0.0000
0.0000 4.8072 0.0000
0.0000 0.0000 3.0540
Ta Hg Os
2 1 1
Cartesian
0.0000 0.0000 0.0000
2.4036 2.4036 0.0000
2.4036 0.0000 1.5270
0.0000 2.4036 1.5270

=====

3.
DyHo5Tl8 (PBE, optimized geometry); ΔH_f (0 K) = -219 meV per atom; total magnetic moment = 0.00 μB/f.u.; N(E_F) = 0.8004 states/eV/atom; density = 11.01 Mg/m³
1.0
-7.8099 -1.7029 0.4866
4.2073 -5.5654 3.9314
1.3504 7.1859 3.2666
Tl Ho Dy
8 5 1
Cartesian
2.2305 -4.0916 3.1370
-0.8755 -2.5244 3.2280
-6.1823 2.9876 3.1145
0.1589 0.1311 6.7612
2.9210 -0.5259 4.7485
-4.5819 -0.0583 2.5925
-1.9677 2.9438 4.8000
-0.7113 0.8080 2.3563
-1.0352 5.8574 3.9151
-2.3796 -0.2425 4.8855
-3.2297 2.7415 1.8766
1.7160 -1.1884 1.8760
-2.8055 -4.5914 4.6925
1.1640 2.1810 4.5373

=====

4.
RbReTc3 (PBE, optimized geometry); ΔH_f (0 K) = 3606 meV per atom; total magnetic moment = 0.00 μB/f.u.; N(E_F) = 1.7193 states/eV/atom; offset from the most stable computed form = 1901 meV/atom; density = 10.03 Mg/m³
1.0
-2.9102 -0.7713 3.3998
-1.5016 -3.7195 -2.1292
3.1462 -2.4887 2.1286
Tc Re Rb
3 1 1
Cartesian
1.5731 -1.2443 1.0643
-0.7508 -1.8597 -1.0646
-1.4551 -0.3856 1.6999
-0.6328 -3.4897 1.6996
0.0000 0.0000 0.0000

=====

5.
PmPr2H (PBE, optimized geometry); total magnetic moment = 0.00 μB/f.u.; N(E_F) = 0.9880 states/eV/atom; offset from the most stable computed form = 246 meV/atom; density = 6.68 Mg/m³
1.0
3.4746 0.0000 0.0000
0.0000 3.4746 0.0000
0.0000 0.0000 8.8037
Pm H Pr
1 1 2
Cartesian
1.7373 1.7373 4.4019
1.7373 1.7373 0.0000
0.0000 0.0000 7.1549
0.0000 0.0000 1.6488

=====

6.
V2Ga2Ni7 (PBE, optimized geometry); ΔH_f (0 K) = 88 meV per atom; total magnetic moment = 0.00 μB/f.u.; N(E_F) = 0.7391 states/eV/atom; density = 7.61 Mg/m³
1.0
-4.8627 -0.7257 0.1753
0.6473 -2.8948 5.9981
1.8145 4.1922 1.8266
V Ni Ga
2 7 2
Cartesian
-1.9966 1.1913 4.5229
-0.4043 -0.6195 3.4771
1.1101 1.1877 2.7947
0.0000 0.0000 0.0000
-1.3881 1.1236 2.2638
-3.5110 -0.6159 5.2054
-0.4143 2.9212 3.7958
-1.9866 -2.3495 4.2042
-1.0128 -0.5519 5.7363
-0.0592 2.8120 1.3636
-2.3417 -2.2402 6.6364